Compound: AgMoOs2Br
Source: Alexandria
Functional: PBE
Structure: optimized geometry

a = 4.711 Å, b = 4.711 Å, c = 5.408 Å
α = 90.00°, β = 90.00°, γ = 90.00°
Last column: magnetic moment on the atom in μB.
Positions (direct):
Mo: 0.000 0.000 0.000  -0.33
Os: 0.000 0.500 0.000  0.99
Os: 0.500 0.000 0.000  0.99
Br: 0.500 0.500 0.500  0.16
Ag: 0.000 0.000 0.500  -0.04

Values from the calculation:
* space group: P4/mmm (123)
* energy relative to the elements, uncorrected: 2.023 eV per atom
* total DFT energy (no corrections): -27.70 eV/cell
* total moment: 1.99 μB per formula unit

Compound: CaAlSe2
Source: Alexandria
Functional: PBE
Structure: optimized geometry

a = 3.593 Å, b = 3.803 Å, c = 6.981 Å
α = 89.97°, β = 90.00°, γ = 90.00°
Positions (direct):
Ca: 0.500 0.750 0.750
Al: 0.500 0.250 0.250
Se: 0.000 0.249 0.991
Se: 0.000 0.251 0.509

Values from the calculation:
* space group: Pmmm (47)
* energy relative to the elements, uncorrected: -0.987 eV per atom
* total DFT energy (no corrections): -16.66 eV/cell
* total moment: 0.00 μB per formula unit

Compound: KTiSe
Source: Alexandria
Functional: PBE
Structure: optimized geometry

a = 3.983 Å, b = 3.983 Å, c = 11.111 Å
α = 90.00°, β = 90.00°, γ = 90.00°
Last column: magnetic moment on the atom in μB.
Positions (direct):
Se: 0.500 0.000 0.654  0.00
Se: 0.000 0.500 0.346  0.00
K: 0.500 0.000 0.194  0.00
K: 0.000 0.500 0.806  0.00
Ti: 0.500 0.500 0.500  0.11
Ti: 0.000 0.000 0.500  0.11

Values from the calculation:
* space group: P4/nmm (129)
* energy relative to the elements, uncorrected: -0.803 eV per atom
* total DFT energy (no corrections): -29.77 eV/cell
* total moment: 0.14 μB per formula unit

Compound: NaSbSe2
Source: Alexandria
Functional: PBE
Structure: optimized geometry

a = 4.191 Å, b = 4.191 Å, c = 5.695 Å
α = 90.00°, β = 90.00°, γ = 90.00°
Positions (direct):
Sb: 0.500 0.500 0.500
Se: 0.000 0.000 0.500
Se: 0.500 0.500 0.000
Na: 0.000 0.000 0.000

Values from the calculation:
* space group: P4/mmm (123)
* energy relative to the elements, uncorrected: -0.557 eV per atom
* total DFT energy (no corrections): -14.64 eV/cell
* total moment: 0.00 μB per formula unit

Compound: Sc5TcHg2
Source: Alexandria
Functional: PBE
Structure: optimized geometry

a = 4.758 Å, b = 6.174 Å, c = 11.532 Å
α = 90.00°, β = 90.00°, γ = 90.00°
Positions (direct):
Sc: 0.500 0.342 0.103
Sc: 0.500 0.658 0.897
Sc: 0.500 0.842 0.397
Sc: 0.500 0.158 0.603
Sc: 0.000 0.876 0.719
Sc: 0.000 0.124 0.281
Sc: 0.000 0.376 0.781
Sc: 0.000 0.624 0.219
Sc: 0.000 0.500 0.500
Sc: 0.000 0.000 0.000
Tc: 0.000 0.000 0.500
Tc: 0.000 0.500 0.000
Hg: 0.500 0.371 0.360
Hg: 0.500 0.629 0.640
Hg: 0.500 0.129 0.860
Hg: 0.500 0.871 0.140

Values from the calculation:
* space group: Pbam (55)
* total DFT energy (no corrections): -90.28 eV/cell
* total moment: 0.00 μB per formula unit

Compound: Cs2Rb4Au
Source: Alexandria
Functional: PBE
Structure: optimized geometry

a = 5.435 Å, b = 8.388 Å, c = 12.886 Å
α = 97.52°, β = 102.18°, γ = 90.00°
Positions (direct):
Cs: 0.227 0.243 0.454
Cs: 0.773 0.757 0.546
Rb: 0.092 0.723 0.184
Rb: 0.908 0.277 0.816
Rb: 0.439 0.780 0.879
Rb: 0.561 0.220 0.121
Au: 0.000 0.000 0.000

Values from the calculation:
* space group: C2/m (12)
* E above lowest polymorph: 0.00 eV/f.u.
* total DFT energy (no corrections): -9.38 eV/cell
* total moment: 0.00 μB per formula unit

Compound: CaScAg2
Source: Alexandria
Functional: PBE
Structure: optimized geometry

a = 5.063 Å, b = 5.063 Å, c = 3.500 Å
α = 90.00°, β = 90.00°, γ = 90.00°
Positions (direct):
Sc: 0.000 0.500 0.500
Ca: 0.500 0.000 0.500
Ag: 0.000 0.000 0.000
Ag: 0.500 0.500 0.000

Values from the calculation:
* space group: P4/mmm (123)
* total DFT energy (no corrections): -15.01 eV/cell
* total moment: 0.00 μB per formula unit

Compound: CeNpSb2
Source: Alexandria
Functional: PBE
Structure: optimized geometry

a = 3.263 Å, b = 5.748 Å, c = 5.748 Å
α = 90.00°, β = 90.00°, γ = 90.00°
Last column: magnetic moment on the atom in μB.
Positions (direct):
Np: 0.500 0.500 0.500  4.26
Sb: 0.000 0.000 0.500  -0.06
Sb: 0.000 0.500 0.000  -0.06
Ce: 0.500 0.000 0.000  0.89

Values from the calculation:
* space group: P4/mmm (123)
* E above lowest polymorph: 0.35 eV/f.u.
* energy relative to the elements, uncorrected: -0.529 eV per atom
* total DFT energy (no corrections): -29.23 eV/cell
* total moment: 5.66 μB per formula unit

Which value of total DFT energy (no corrections) does entry 8 give?
-29.23 eV/cell

Look up the total moment of the fifth one.
0.00 μB per formula unit

Please write out number 4 again, unchanged.
Compound: NaSbSe2
Source: Alexandria
Functional: PBE
Structure: optimized geometry

a = 4.191 Å, b = 4.191 Å, c = 5.695 Å
α = 90.00°, β = 90.00°, γ = 90.00°
Positions (direct):
Sb: 0.500 0.500 0.500
Se: 0.000 0.000 0.500
Se: 0.500 0.500 0.000
Na: 0.000 0.000 0.000

Values from the calculation:
* space group: P4/mmm (123)
* energy relative to the elements, uncorrected: -0.557 eV per atom
* total DFT energy (no corrections): -14.64 eV/cell
* total moment: 0.00 μB per formula unit

What is the total DFT energy (no corrections) in the second record?
-16.66 eV/cell